[1]
Compound: Ce2Hg
Source: Alexandria via LeMat-Bulk
Functional: PBE-GGA
Structure: optimized geometry

Computed properties:
crystal system = cubic
calculated formation energy = 33.7 kJ/mol of formula units
N(E_F) = 16.5 states/eV/cell

Cell: 6.093 6.093 6.093 Å, 60.00 60.00 60.00°
Fractional positions:
1 Ce 0.000 0.000 0.000
2 Ce 0.000 0.000 0.500
3 Ce 0.000 0.500 0.000
4 Ce 0.500 0.000 0.000
5 Hg 0.375 0.375 0.375
6 Hg 0.625 0.625 0.625

---

[2]
Compound: Ce2Hg3
Source: Alexandria via LeMat-Bulk
Functional: PBE-GGA
Structure: optimized geometry

Computed properties:
crystal system = orthorhombic
calculated formation energy = 11.9 kJ/mol of formula units
energy relative to the lowest polymorph listed for this composition = 143 meV per atom
N(E_F) = 17.1 states/eV/cell

Cell: 14.477 14.477 5.869 Å, 90.00 90.00 167.28°
Fractional positions:
1 Ce 0.178 0.822 0.750
2 Ce 0.238 0.762 0.250
3 Ce 0.762 0.238 0.750
4 Ce 0.822 0.178 0.250
5 Hg 0.124 0.876 0.250
6 Hg 0.421 0.579 0.250
7 Hg 0.474 0.526 0.750
8 Hg 0.526 0.474 0.250
9 Hg 0.579 0.421 0.750
10 Hg 0.876 0.124 0.750

---

[3]
Compound: Ce5Hg
Source: Alexandria via LeMat-Bulk
Functional: PBE-GGA
Structure: optimized geometry

Computed properties:
crystal system = orthorhombic
calculated formation energy = -18.0 kJ/mol of formula units
energy relative to the lowest polymorph listed for this composition = 33 meV per atom
N(E_F) = 19.1 states/eV/cell

Cell: 5.759 5.759 5.536 Å, 90.00 90.00 120.67°
Fractional positions:
1 Ce 0.000 0.000 0.000
2 Ce 0.145 0.855 0.500
3 Ce 0.325 0.675 0.000
4 Ce 0.675 0.325 0.000
5 Ce 0.855 0.145 0.500
6 Hg 0.500 0.500 0.500

---

[4]
Compound: Ce3Hg
Source: Alexandria via LeMat-Bulk
Functional: PBE-GGA
Structure: optimized geometry

Computed properties:
crystal system = monoclinic
calculated formation energy = -32.8 kJ/mol of formula units
N(E_F) = 24.0 states/eV/cell

Cell: 6.189 6.189 5.905 Å, 101.00 101.00 87.56°
Fractional positions:
1 Ce 0.018 0.018 0.228
2 Ce 0.154 0.550 0.200
3 Ce 0.450 0.846 0.800
4 Ce 0.550 0.154 0.200
5 Ce 0.846 0.450 0.800
6 Ce 0.982 0.982 0.772
7 Hg 0.332 0.332 0.683
8 Hg 0.668 0.668 0.317

---

[5]
Compound: Ce2Hg
Source: Alexandria via LeMat-Bulk
Functional: PBE-GGA
Structure: optimized geometry

Computed properties:
crystal system = orthorhombic
calculated formation energy = -65.2 kJ/mol of formula units
N(E_F) = 13.2 states/eV/cell

Cell: 7.474 7.474 5.343 Å, 90.00 90.00 149.14°
Fractional positions:
1 Ce 0.099 0.901 0.750
2 Ce 0.267 0.733 0.250
3 Ce 0.733 0.267 0.750
4 Ce 0.901 0.099 0.250
5 Hg 0.414 0.586 0.750
6 Hg 0.586 0.414 0.250

---

[6]
Compound: Ce2Hg7
Source: Alexandria via LeMat-Bulk
Functional: PBE-GGA
Structure: optimized geometry

Computed properties:
crystal system = trigonal
calculated formation energy = -226.1 kJ/mol of formula units
N(E_F) = 14.8 states/eV/cell

Cell: 5.215 5.215 9.684 Å, 90.00 90.00 120.00°
Fractional positions:
1 Ce 0.333 0.667 0.269
2 Ce 0.667 0.333 0.731
3 Hg 0.000 0.000 0.157
4 Hg 0.000 0.000 0.500
5 Hg 0.000 0.000 0.843
6 Hg 0.333 0.667 0.600
7 Hg 0.333 0.667 0.922
8 Hg 0.667 0.333 0.078
9 Hg 0.667 0.333 0.400

---

[7]
Compound: Ce2Hg13
Source: Alexandria via LeMat-Bulk
Functional: PBE-GGA
Structure: optimized geometry

Computed properties:
crystal system = trigonal
calculated formation energy = 45.5 kJ/mol of formula units
energy relative to the lowest polymorph listed for this composition = 106 meV per atom
N(E_F) = 23.0 states/eV/cell

Cell: 8.838 8.838 8.838 Å, 59.66 59.66 59.66°
Fractional positions:
1 Ce 0.245 0.245 0.245
2 Ce 0.755 0.755 0.755
3 Hg 0.000 0.000 0.000
4 Hg 0.018 0.018 0.643
5 Hg 0.018 0.643 0.018
6 Hg 0.253 0.253 0.611
7 Hg 0.253 0.611 0.253
8 Hg 0.357 0.982 0.982
9 Hg 0.389 0.747 0.747
10 Hg 0.611 0.253 0.253
11 Hg 0.643 0.018 0.018
12 Hg 0.747 0.389 0.747
13 Hg 0.747 0.747 0.389
14 Hg 0.982 0.357 0.982
15 Hg 0.982 0.982 0.357

---

[8]
Compound: Ce3Hg4
Source: Alexandria via LeMat-Bulk
Functional: PBE-GGA
Structure: optimized geometry

Computed properties:
crystal system = trigonal
calculated formation energy = -211.7 kJ/mol of formula units
N(E_F) = 46.0 states/eV/cell

Cell: 8.510 8.510 8.510 Å, 113.62 113.62 113.62°
Fractional positions:
1 Ce 0.010 0.402 0.282
2 Ce 0.282 0.010 0.402
3 Ce 0.402 0.282 0.010
4 Ce 0.598 0.718 0.990
5 Ce 0.718 0.990 0.598
6 Ce 0.990 0.598 0.718
7 Hg 0.000 0.000 0.000
8 Hg 0.079 0.230 0.555
9 Hg 0.230 0.555 0.079
10 Hg 0.445 0.921 0.770
11 Hg 0.500 0.500 0.500
12 Hg 0.555 0.079 0.230
13 Hg 0.770 0.445 0.921
14 Hg 0.921 0.770 0.445